Compound: BeFeRe
Source: Alexandria via LeMat-Bulk
Functional: GGA-PBE
Structure: optimized geometry

Values from the calculation:
final energy	-23.8	eV for the cell shown
magnetic moment	0.1899	μB/atom
polymorph energy (0 for the lowest one)	400	meV per atom
volume	38.81	Å³/cell

Structure (CIF):
```
data_BeFeRe
_cell_length_a 3.800
_cell_length_b 3.800
_cell_length_c 3.800
_cell_angle_alpha 60.00
_cell_angle_beta 60.00
_cell_angle_gamma 60.00
_space_group_name_H-M_alt 'P 1'
_space_group_IT_number 1
_space_group_name_Hall 'P 1'
loop_
_atom_site_label
_atom_site_type_symbol
_atom_site_fract_x
_atom_site_fract_y
_atom_site_fract_z
Be1 Be 0.000 0.000 0.000
Fe1 Fe 0.250 0.250 0.250
Re1 Re 0.500 0.500 0.500
```